{"formula": "Zr2RhNO", "functional": "PBE", "state": "relaxed", "energy_ev_per_cell": -39.34, "cell": [[4.441, 0.000, 0.000], [0.000, 4.441, 0.000], [0.000, 0.000, 3.657]], "species": ["Zr", "Zr", "Rh", "N", "O"], "fractional_positions": [[0.000, 0.500, 0.000], [0.500, 0.000, 0.000], [0.000, 0.000, 0.500], [0.500, 0.500, 0.500], [0.500, 0.500, 0.000]]}

{"formula": "Ru2NO", "functional": "PBE", "state": "relaxed", "polymorph_energy_mev_per_atom": 0, "cell": [[-2.285, 2.285, 4.712], [2.285, -2.285, 4.712], [2.285, 2.285, -4.712]], "species": ["Ru", "Ru", "Ru", "Ru", "N", "N", "O", "O"], "fractional_positions": [[0.096, 0.625, 0.971], [0.375, 0.346, 0.471], [0.654, 0.125, 0.029], [0.875, 0.904, 0.529], [0.000, 0.000, 0.000], [0.750, 0.250, 0.500], [0.250, 0.750, 0.500], [0.500, 0.500, 0.000]]}

{"formula": "Ru2NO", "functional": "PBE", "state": "relaxed", "polymorph_energy_mev_per_atom": 747, "cell": [[0.000, 2.713, 2.713], [2.713, 0.000, 2.713], [2.713, 2.713, 0.000]], "species": ["Ru", "Ru", "N", "O"], "fractional_positions": [[0.250, 0.250, 0.250], [0.750, 0.750, 0.750], [0.000, 0.000, 0.000], [0.500, 0.500, 0.500]]}

{"formula": "SbRuNO2", "functional": "PBE", "state": "relaxed", "energy_ev_per_cell": -31.77, "cell": [[4.074, 0.000, 0.000], [0.000, 4.074, 0.000], [0.000, 0.000, 3.752]], "species": ["Sb", "Ru", "N", "O", "O"], "fractional_positions": [[0.000, 0.000, 0.000], [0.500, 0.500, 0.500], [0.500, 0.500, 0.000], [0.000, 0.500, 0.500], [0.500, 0.000, 0.500]]}

{"formula": "SbRuNO2", "functional": "PBE", "state": "relaxed", "energy_ev_per_cell": -29.26, "cell": [[3.981, 0.000, 0.000], [0.000, 3.981, 0.000], [0.000, 0.000, 4.072]], "species": ["Sb", "Ru", "N", "O", "O"], "fractional_positions": [[0.000, 0.000, 0.000], [0.500, 0.500, 0.500], [0.000, 0.000, 0.500], [0.000, 0.500, 0.000], [0.500, 0.000, 0.000]]}

{"formula": "ScRuN2O", "functional": "PBE", "state": "relaxed", "energy_ev_per_cell": -32.26, "cell": [[4.141, 0.000, 0.000], [0.000, 4.141, 0.000], [0.000, 0.000, 3.539]], "species": ["Sc", "Ru", "N", "N", "O"], "fractional_positions": [[0.000, 0.000, 0.000], [0.500, 0.500, 0.000], [0.000, 0.500, 0.500], [0.500, 0.000, 0.500], [0.500, 0.500, 0.500]]}